Entry from Alexandria via LeMat-Bulk: a crystal of Er2CuNi relaxed with PBEsol (meta-GGA SCAN).

Unit cell a=3.6100 b=4.2654 c=5.2751 alpha=90.00 beta=110.01 gamma=90.00
Fractional positions:
Er1 0.1402 0.0000 0.2803
Er2 0.8604 0.5000 0.7208
Ni1 0.4272 0.0000 0.8544
Cu1 0.5722 0.5000 0.1444

Properties
The calculation puts the total magnetization at 0.00 μB per cell. The value obtained for the density is 9.94 g cm⁻³. Its formation energy is -0.42 eV/atom. Its density of states at the Fermi level is 2.28 states/eV/f.u.